1.
# BeCrHgPd2

Crystalline BeCrHgPd2 at its relaxed geometry (GGA-PBE, the Alexandria database).

Summary:
Crystal system: tetragonal
E_tot, eV per atom: -3.36
D(E_F), states/eV per atom: 0.598
Formation enthalpy at 0 K, meV per atom: 1449

a = 5.033 Å, b = 5.033 Å, c = 5.004 Å
α = 90.00°, β = 90.00°, γ = 90.00°
Fractional coordinates of all 5 atoms:
Be1 0.000 0.000 0.000
Cr1 0.500 0.500 0.000
Hg1 0.500 0.500 0.500
Pd1 0.000 0.500 0.500
Pd2 0.500 0.000 0.500

=====

2.
# BeCrSi2Hg

Crystalline BeCrSi2Hg at its relaxed geometry (GGA-PBE, the Alexandria database).

Summary:
Crystal system: tetragonal
E_tot, eV per atom: -4.24
Formation energy without anion corrections, meV/atom: 657
D(E_F), states/eV per atom: 0.751

a = 4.511 Å, b = 4.511 Å, c = 4.416 Å
α = 90.00°, β = 90.00°, γ = 90.00°
Fractional coordinates of all 5 atoms:
Be1 0.000 0.000 0.000
Cr1 0.000 0.000 0.500
Si1 0.000 0.500 0.500
Si2 0.500 0.000 0.500
Hg1 0.500 0.500 0.000

=====

3.
# YBeCr2Hg

Crystalline YBeCr2Hg at its relaxed geometry (GGA-PBE, the Alexandria database).

Summary:
Crystal system: tetragonal
E_tot, eV per atom: -5.01
D(E_F), states/eV per atom: 0.574
Formation enthalpy at 0 K, meV per atom: 940

a = 5.127 Å, b = 5.127 Å, c = 4.410 Å
α = 90.00°, β = 90.00°, γ = 90.00°
Fractional coordinates of all 5 atoms:
Y1 0.000 0.000 0.000
Be1 0.500 0.500 0.000
Cr1 0.000 0.500 0.500
Cr2 0.500 0.000 0.500
Hg1 0.500 0.500 0.500

=====

4.
# BeCrI3

Crystalline BeCrI3 at its relaxed geometry (GGA-PBE, the Alexandria database).

Summary:
Crystal system: cubic
E_tot, eV per atom: -3.08
Formation energy without anion corrections, meV/atom: 521
D(E_F), states/eV per atom: 0.524
Excess energy over the best structure of this formula in the dataset, meV/atom: 133

a = 5.535 Å, b = 5.535 Å, c = 5.535 Å
α = 90.00°, β = 90.00°, γ = 90.00°
Fractional coordinates of all 5 atoms:
Be1 0.000 0.000 0.000
Cr1 0.500 0.500 0.500
I1 0.000 0.500 0.500
I2 0.500 0.000 0.500
I3 0.500 0.500 0.000